Run a
DFT (PBE-GGA) results for an optimized crystal structure of K2TlBr5.

```
data_K2TlBr5
_cell_length_a 8.230
_cell_length_b 8.230
_cell_length_c 9.533
_cell_angle_alpha 90.00
_cell_angle_beta 90.00
_cell_angle_gamma 90.00
_space_group_name_H-M_alt 'I 4 m m'
_space_group_IT_number 107
_space_group_name_Hall 'I 4 -2'
loop_
_atom_site_label
_atom_site_type_symbol
_atom_site_fract_x
_atom_site_fract_y
_atom_site_fract_z
K1 K 0.000 0.500 0.000
Tl1 Tl 0.000 0.000 0.270
Br1 Br 0.000 0.000 0.546
Br2 Br 0.231 0.231 0.212
```



Run b
# K2TlBr5 | Alexandria via LeMat-Bulk | PBE-GGA | relaxed
data_K2TlBr5
_cell_length_a 13.094
_cell_length_b 13.099
_cell_length_c 10.900
_cell_angle_alpha 90.00
_cell_angle_beta 126.88
_cell_angle_gamma 90.00
_space_group_name_H-M_alt 'C 1 2/c 1'
_space_group_IT_number 15
loop_
_space_group_symop_operation_xyz
'x,y,z'
'-x,-y,-z'
'-x,y,-z+1/2'
'x,-y,z+1/2'
'x+1/2,y+1/2,z'
'-x+1/2,-y+1/2,-z'
'-x+1/2,y+1/2,-z+1/2'
'x+1/2,-y+1/2,z+1/2'
loop_
_atom_site_label
_atom_site_type_symbol
_atom_site_fract_x
_atom_site_fract_y
_atom_site_fract_z
K1 K 0.000 0.000 0.000
K2 K 0.250 0.250 0.000
Tl1 Tl 0.000 0.374 0.250
Br1 Br 0.000 0.125 0.750
Br2 Br 0.021 0.261 0.066
Br3 Br 0.205 0.488 0.432
# Fermi-level density of states   0.00 states/eV per atom



Most stable: run b



Run a
# KTlBr | Alexandria via LeMat-Bulk | PBE-GGA | relaxed
data_KTlBr
_cell_length_a 5.6025
_cell_length_b 5.6025
_cell_length_c 4.0407
_cell_angle_alpha 90.00
_cell_angle_beta 90.00
_cell_angle_gamma 120.00
_space_group_name_H-M_alt 'P -6 m 2'
_space_group_IT_number 187
_space_group_name_Hall 'P -6 2'
loop_
_atom_site_label
_atom_site_type_symbol
_atom_site_fract_x
_atom_site_fract_y
_atom_site_fract_z
K1 K 0.0000 0.0000 0.0000
Tl1 Tl 0.6667 0.3333 0.5000
Br1 Br 0.3333 0.6667 0.5000
# Fermi-level density of states   0.52 states/eV per atom



Run b
# KTlBr | Alexandria via LeMat-Bulk | PBE-GGA | relaxed
data_KTlBr
_cell_length_a 7.939
_cell_length_b 7.939
_cell_length_c 7.939
_cell_angle_alpha 90.00
_cell_angle_beta 90.00
_cell_angle_gamma 90.00
_space_group_name_H-M_alt 'F -4 3 m'
_space_group_IT_number 216
_space_group_name_Hall 'F -4 2 3'
loop_
_atom_site_label
_atom_site_type_symbol
_atom_site_fract_x
_atom_site_fract_y
_atom_site_fract_z
K1 K 0.000 0.000 0.000
Tl1 Tl 0.000 0.000 0.500
Br1 Br 0.250 0.250 0.750
# Fermi-level density of states   0.95 states/eV per atom



Most stable: run a